Record 1
## Pr2TmMg2 (PBE)

Data for a geometry-optimized Pr2TmMg2 structure.

Calculated values
formation enthalpy at 0 K: -55 meV/atom
polymorph energy (0 for the lowest one): 0.0 meV per atom
Fermi-level density of states: 10.911 states/eV/cell
space-group type: No. 11

a = 3.8569 Å, b = 5.4744 Å, c = 14.3209 Å
α = 90.00°, β = 97.76°, γ = 90.00°
Element x y z (fractional)
Pr  0.0457  0.7500  0.0909
Pr  0.9543  0.2500  0.9091
Pr  0.2356  0.7500  0.4728
Pr  0.7644  0.2500  0.5272
Tm  0.8499  0.7500  0.7010
Tm  0.1501  0.2500  0.2990
Mg  0.6406  0.7500  0.2801
Mg  0.3594  0.2500  0.7199
Mg  0.4442  0.7500  0.8886
Mg  0.5558  0.2500  0.1114



Record 2
## PmNdSi3 (PBE)

Data for a geometry-optimized PmNdSi3 structure.

Calculated values
ΔE_f (raw): -3.40 eV per formula unit
polymorph energy (0 for the lowest one): 12.4 meV per atom
Fermi-level density of states: 4.230 states/eV/cell
space-group type: No. 63

a = 4.0186 Å, b = 4.3252 Å, c = 12.6569 Å
α = 99.84°, β = 90.00°, γ = 90.00°
Element x y z (fractional)
Pm  0.2500  0.0686  0.1372
Pm  0.7500  0.9314  0.8628
Nd  0.2500  0.7982  0.5964
Nd  0.7500  0.2018  0.4036
Si  0.2500  0.3819  0.7638
Si  0.7500  0.6181  0.2362
Si  0.2500  0.4758  0.9516
Si  0.7500  0.5242  0.0484
Si  0.7500  0.3255  0.6510
Si  0.2500  0.6745  0.3490



Record 3
## LiCaZn2Ag5 (PBE)

Data for a geometry-optimized LiCaZn2Ag5 structure.

Calculated values
formation enthalpy at 0 K: -42 meV/atom
Fermi-level density of states: 3.016 states/eV/cell
space-group type: No. 123

a = 4.8220 Å, b = 4.8220 Å, c = 7.9219 Å
α = 90.00°, β = 90.00°, γ = 90.00°
Element x y z (fractional)
Li  0.0000  0.0000  0.0000
Ca  0.0000  0.0000  0.5000
Zn  0.5000  0.5000  0.1507
Zn  0.5000  0.5000  0.8493
Ag  0.0000  0.5000  0.2597
Ag  0.5000  0.0000  0.2597
Ag  0.0000  0.5000  0.7403
Ag  0.5000  0.0000  0.7403
Ag  0.5000  0.5000  0.5000



Record 4
## Al2Tl2Zn (PBE)

Data for a geometry-optimized Al2Tl2Zn structure.

Calculated values
formation enthalpy at 0 K: 198 meV/atom
polymorph energy (0 for the lowest one): 0.0 meV per atom
Fermi-level density of states: 2.318 states/eV/cell
space-group type: No. 127

a = 6.7306 Å, b = 6.7306 Å, c = 5.1436 Å
α = 90.00°, β = 90.00°, γ = 90.00°
Element x y z (fractional)
Tl  0.1795  0.6795  0.5000
Tl  0.6795  0.8205  0.5000
Tl  0.8205  0.3205  0.5000
Tl  0.3205  0.1795  0.5000
Zn  0.0000  0.0000  0.0000
Zn  0.5000  0.5000  0.0000
Al  0.3597  0.8597  0.0000
Al  0.8597  0.6403  0.0000
Al  0.6403  0.1403  0.0000
Al  0.1403  0.3597  0.0000



| no. | energy (eV per atom) | ρ (kg/m³) |
| --- | --- | --- |
| 1 | -3.4994 | 5535 |
| 2 | -5.8376 | 5723 |
| 3 | -2.3443 | 6465 |
| 4 | -2.5005 | 7528 |